(1)
Below is crystalline PrNdTh at its relaxed geometry, with properties calculated at the PBE level.

Lattice parameters (Å, degrees): 5.4634 5.4634 5.4634 60.00 60.00 60.00
Atoms (fractional coordinates):
Pr: 0.0000 0.0000 0.0000
Nd: 0.7500 0.7500 0.7500
Th: 0.5000 0.5000 0.5000

## Properties
Space-group type: No. 216
Spin magnetization: 1.46 μB per formula unit
Energy relative to the elements: 0.7844 eV/atom

=====

(2)
Below is crystalline ScCoNiSb at its relaxed geometry, with properties calculated at the PBE level.

Lattice parameters (Å, degrees): 4.4734 4.4734 4.4734 60.00 60.00 60.00
Atoms (fractional coordinates):
Sc: 0.0000 0.0000 0.0000
Co: 0.7500 0.7500 0.7500
Ni: 0.5000 0.5000 0.5000
Sb: 0.2500 0.2500 0.2500

## Properties
Space-group type: No. 216
Energy relative to the lowest polymorph listed for this composition: 351 meV/atom
Spin magnetization: 1.27 μB per formula unit

=====

(3)
Below is crystalline LiInBAu at its relaxed geometry, with properties calculated at the PBE level.

Lattice parameters (Å, degrees): 4.4933 4.4933 4.4933 60.00 60.00 60.00
Atoms (fractional coordinates):
Li: 0.0000 0.0000 0.0000
In: 0.5000 0.5000 0.5000
B: 0.2500 0.2500 0.2500
Au: 0.7500 0.7500 0.7500

## Properties
Space-group type: No. 216
Energy relative to the lowest polymorph listed for this composition: 39 meV/atom

=====

(4)
Below is crystalline NaHoOs at its relaxed geometry, with properties calculated at the PBE level.

Lattice parameters (Å, degrees): 4.6659 4.6659 4.6659 60.00 60.00 60.00
Atoms (fractional coordinates):
Na: 0.0000 0.0000 0.0000
Ho: 0.2500 0.2500 0.2500
Os: 0.5000 0.5000 0.5000

## Properties
Space-group type: No. 216
Energy relative to the lowest polymorph listed for this composition: 311 meV/atom
Spin magnetization: 0.07 μB per formula unit

=====

(5)
Below is crystalline La2NdCo2B2P3 at its relaxed geometry, with properties calculated at the PBE level.

Lattice parameters (Å, degrees): 11.4769 11.4769 11.4769 159.76 159.76 28.77
Atoms (fractional coordinates):
La: 0.1414 0.1414 0.0000
La: 0.8586 0.8586 0.0000
Nd: 0.5000 0.5000 0.0000
Co: 0.2500 0.7500 0.5000
Co: 0.7500 0.2500 0.5000
B: 0.2840 0.2840 0.0000
B: 0.7160 0.7160 0.0000
P: 0.0000 0.0000 0.0000
P: 0.3721 0.3721 0.0000
P: 0.6279 0.6279 0.0000

## Properties
Space-group type: No. 139
Spin magnetization: 0.00 μB per formula unit
Total energy: -6.66 eV/atom

=====

(6)
Below is crystalline PmTaTe at its relaxed geometry, with properties calculated at the PBE level.

Lattice parameters (Å, degrees): 5.1210 5.1210 5.1210 60.00 60.00 60.00
Atoms (fractional coordinates):
Pm: 0.0000 0.0000 0.0000
Ta: 0.7500 0.7500 0.7500
Te: 0.2500 0.2500 0.2500

## Properties
Space-group type: No. 216
Energy relative to the lowest polymorph listed for this composition: 570 meV/atom
Spin magnetization: 3.11 μB per formula unit

=====

(7)
Below is crystalline Gd3Si4Au4 at its relaxed geometry, with properties calculated at the PBE level.

Lattice parameters (Å, degrees): 8.2370 8.2370 8.2370 149.61 129.75 59.86
Atoms (fractional coordinates):
Gd: 0.0000 0.0000 0.0000
Gd: 0.3740 0.8740 0.5000
Gd: 0.6260 0.1260 0.5000
Si: 0.2164 0.2164 0.0000
Si: 0.3245 0.5000 0.8245
Si: 0.6755 0.5000 0.1755
Si: 0.7836 0.7836 0.0000
Au: 0.0355 0.3349 0.7006
Au: 0.3657 0.6651 0.7006
Au: 0.6343 0.3349 0.2994
Au: 0.9645 0.6651 0.2994

## Properties
Space-group type: No. 71
Spin magnetization: 0.00 μB per formula unit
Total energy: -5.14 eV/atom

=====

(8)
Below is crystalline ErBO3 at its relaxed geometry, with properties calculated at the PBE level.

Lattice parameters (Å, degrees): 5.1745 5.1745 6.2338 90.00 90.00 120.00
Atoms (fractional coordinates):
Er: 0.0000 0.0000 0.0000
Er: 0.0000 0.0000 0.5000
B: 0.3333 0.6667 0.2500
B: 0.6667 0.3333 0.7500
O: 0.1795 0.3589 0.2500
O: 0.1795 0.8205 0.2500
O: 0.3589 0.1795 0.7500
O: 0.6411 0.8205 0.2500
O: 0.8205 0.1795 0.7500
O: 0.8205 0.6411 0.7500

## Properties
Space-group type: No. 194
Spin magnetization: 0.00 μB per formula unit
Total energy: -8.23 eV/atom

=====

(9)
Below is crystalline DyLu2Si4Pd4 at its relaxed geometry, with properties calculated at the PBE level.

Lattice parameters (Å, degrees): 7.8763 7.8763 7.8763 150.10 127.52 61.58
Atoms (fractional coordinates):
Dy: 0.0000 0.0000 0.0000
Lu: 0.3756 0.8756 0.5000
Lu: 0.6244 0.1244 0.5000
Si: 0.2207 0.2207 0.0000
Si: 0.3202 0.5000 0.8202
Si: 0.6798 0.5000 0.1798
Si: 0.7793 0.7793 0.0000
Pd: 0.0273 0.3258 0.7016
Pd: 0.3758 0.6742 0.7016
Pd: 0.6242 0.3258 0.2984
Pd: 0.9727 0.6742 0.2984

## Properties
Space-group type: No. 71
Spin magnetization: 0.02 μB per formula unit
Total energy: -6.06 eV/atom

=====

(10)
Below is crystalline Nb3Fe2 at its relaxed geometry, with properties calculated at the PBE level.

Lattice parameters (Å, degrees): 6.6007 6.6007 6.6007 50.36 50.36 50.36
Atoms (fractional coordinates):
Nb: 0.2441 0.7500 0.2559
Nb: 0.2500 0.7441 0.7559
Nb: 0.2559 0.2441 0.7500
Nb: 0.7441 0.7559 0.2500
Nb: 0.7500 0.2559 0.2441
Nb: 0.7559 0.2500 0.7441
Fe: 0.1876 0.1876 0.1876
Fe: 0.3124 0.3124 0.3124
Fe: 0.6876 0.6876 0.6876
Fe: 0.8124 0.8124 0.8124

## Properties
Space-group type: No. 167
Spin magnetization: 0.00 μB per formula unit
Energy relative to the elements: 0.3026 eV/atom

=====

(11)
Below is crystalline PrGdAs2Pt2 at its relaxed geometry, with properties calculated at the PBE level.

Lattice parameters (Å, degrees): 4.3367 4.3367 15.6497 90.00 90.00 120.00
Atoms (fractional coordinates):
Pr: 0.0000 0.0000 0.0000
Pr: 0.0000 0.0000 0.5000
Gd: 0.0000 0.0000 0.2500
Gd: 0.0000 0.0000 0.7500
As: 0.3333 0.6667 0.1206
As: 0.3333 0.6667 0.3794
As: 0.6667 0.3333 0.6206
As: 0.6667 0.3333 0.8794
Pt: 0.3333 0.6667 0.6396
Pt: 0.3333 0.6667 0.8604
Pt: 0.6667 0.3333 0.1396
Pt: 0.6667 0.3333 0.3604

## Properties
Space-group type: No. 194
Energy relative to the lowest polymorph listed for this composition: 0 meV/atom
Spin magnetization: 0.00 μB per formula unit

=====

(12)
Below is crystalline Gd2Ag2Te3S at its relaxed geometry, with properties calculated at the PBE level.

Lattice parameters (Å, degrees): 7.0689 7.0689 4.5598 90.82 90.82 94.29
Atoms (fractional coordinates):
Gd: 0.0000 0.0000 0.0000
Gd: 0.5484 0.5484 0.4058
Ag: 0.0484 0.5338 0.2331
Ag: 0.5338 0.0484 0.2331
Te: 0.2308 0.2308 0.5033
Te: 0.3340 0.7455 0.9184
Te: 0.7455 0.3340 0.9184
S: 0.8325 0.8325 0.4764

## Properties
Space-group type: No. 8
Spin magnetization: 0.00 μB per formula unit
Total energy: -4.58 eV/atom